Na4CaP6O18 | PBE-GGA | relaxed

Computed properties:
Space group   C2/c (15)
E_form (uncorrected)   -2.315 eV per atom
Crystal system   monoclinic

Cell: 7.7636 7.7636 14.7668 Å, 87.33 87.33 61.96°
Last column: nearest neighbours and their distance in Å.
Atoms (fractional coordinates):
O: 0.0689 0.2511 0.9642  1 P 1.50
O: 0.6397 0.9184 0.3436  1 P 1.49
Na: 0.7910 0.5313 0.0560  5 O 2.40-2.61
P: 0.0862 0.3641 0.2571  4 O 1.49-1.63
P: 0.7757 0.4019 0.3919  4 O 1.50-1.63
O: 0.9184 0.6397 0.8436  1 P 1.49
Na: 0.7129 0.9564 0.9171  6 O 2.45-2.56
P: 0.0397 0.1474 0.8879  4 O 1.50-1.63
O: 0.8612 0.8179 0.2055  2 P 1.62-1.63
O: 0.1821 0.1388 0.2945  2 P 1.62-1.63
O: 0.2511 0.0689 0.4642  1 P 1.50
O: 0.1370 0.5510 0.7029  2 P 1.63
O: 0.1824 0.4670 0.3012  1 P 1.51
O: 0.0878 0.8328 0.5956  2 P 1.63
O: 0.1849 0.8383 0.3658  1 P 1.50
O: 0.4248 0.5675 0.6282  1 P 1.50
O: 0.9122 0.1672 0.4044  2 P 1.63
O: 0.4940 0.1953 0.0321  1 P 1.50
P: 0.4019 0.7757 0.8919  4 O 1.50-1.63
Ca: 0.3755 0.6245 0.2500  6 O 2.36-2.42
O: 0.5752 0.4325 0.3718  1 P 1.50
O: 0.7489 0.9311 0.5358  1 P 1.50
O: 0.8176 0.5330 0.6988  1 P 1.51
O: 0.4325 0.5752 0.8718  1 P 1.50
Ca: 0.6245 0.3755 0.7500  6 O 2.36-2.42
O: 0.1617 0.8151 0.1342  1 P 1.50
Na: 0.2871 0.0436 0.0829  6 O 2.45-2.56
P: 0.9138 0.6359 0.7429  4 O 1.49-1.63
O: 0.9311 0.7489 0.0358  1 P 1.50
P: 0.5981 0.2243 0.1081  4 O 1.50-1.63
P: 0.8526 0.9603 0.6121  4 O 1.50-1.63
O: 0.4670 0.1824 0.8012  1 P 1.51
P: 0.6359 0.9138 0.2429  4 O 1.49-1.63
O: 0.1388 0.1821 0.7945  2 P 1.62-1.63
O: 0.5330 0.8176 0.1988  1 P 1.51
O: 0.4490 0.8630 0.7971  2 P 1.63
Na: 0.9564 0.7129 0.4171  6 O 2.45-2.56
O: 0.8179 0.8612 0.7055  2 P 1.62-1.63
O: 0.3603 0.0816 0.6564  1 P 1.49
P: 0.1474 0.0397 0.3879  4 O 1.50-1.63
Na: 0.2090 0.4687 0.9440  5 O 2.40-2.61
O: 0.8383 0.1849 0.8658  1 P 1.50
O: 0.0816 0.3603 0.1564  1 P 1.49
O: 0.5675 0.4248 0.1282  1 P 1.50
Na: 0.0436 0.2871 0.5829  6 O 2.45-2.56
O: 0.5510 0.1370 0.2029  2 P 1.63
O: 0.1672 0.9122 0.9044  2 P 1.63
Na: 0.4687 0.2090 0.4440  5 O 2.40-2.61
Na: 0.5313 0.7910 0.5560  5 O 2.40-2.61
O: 0.5060 0.8047 0.9679  1 P 1.50
P: 0.9603 0.8526 0.1121  4 O 1.50-1.63
O: 0.8151 0.1617 0.6342  1 P 1.50
O: 0.8328 0.0878 0.0956  2 P 1.63
P: 0.3641 0.0862 0.7571  4 O 1.49-1.63
O: 0.8630 0.4490 0.2971  2 P 1.63
P: 0.2243 0.5981 0.6081  4 O 1.50-1.63
O: 0.8047 0.5060 0.4679  1 P 1.50
O: 0.1953 0.4940 0.5321  1 P 1.50

---

Ta2CoBiRh | PBE-GGA | relaxed

Computed properties:
DFT formation energy   2464.2 meV per atom
Space group   P4/mmm (123)
Crystal system   tetragonal

Cell: 5.1403 4.8136 5.1403 Å, 90.00 90.00 90.00°
Last column: nearest neighbours and their distance in Å.
Atoms (fractional coordinates):
Rh: 0.0000 0.5000 0.0000  2 Bi 2.41
Ta: 0.0000 0.0000 0.5000  2 Bi 2.57
Bi: 0.0000 0.0000 0.0000  2 Rh 2.41, 4 Ta 2.57
Co: 0.5000 0.5000 0.5000  8 Ta 3.52, 4 Rh 3.63
Ta: 0.5000 0.0000 0.0000  2 Bi 2.57

---

CsRb2TaO4 | PBE-GGA | relaxed

Computed properties:
Space group   P1 (1)
E_form (uncorrected)   -2.168 eV per atom
Crystal system   triclinic

Cell: 8.2993 8.2708 7.9697 Å, 118.44 118.83 68.57°
Last column: nearest neighbours and their distance in Å.
Atoms (fractional coordinates):
O: 0.7867 0.8854 0.0272  1 Ta 1.88
O: 0.9082 0.2081 0.0610  1 Ta 1.87
Rb: 0.4052 0.9060 0.4047  4 O 2.82-2.86
Ta: 0.4500 0.4119 0.4324  4 O 1.87-1.88
O: 0.7083 0.4083 0.5566  1 Ta 1.87
Rb: 0.5330 0.3703 0.9571  3 O 2.75-2.78
Cs: 0.9958 0.4944 0.9950  6 O 3.01-3.37
Ta: 0.9117 0.9498 0.9297  4 O 1.87-1.88
O: 0.3893 0.2933 0.5404  1 Ta 1.88
Rb: 0.4019 0.9014 0.9008  4 O 2.82-2.86
O: 0.7922 0.8907 0.6434  1 Ta 1.88
Cs: 0.9973 0.4986 0.4977  4 O 3.00-3.05
O: 0.1549 0.8080 0.9827  1 Ta 1.88
O: 0.3083 0.6550 0.4791  1 Ta 1.88
O: 0.3872 0.2858 0.1465  1 Ta 1.88
Rb: 0.8701 0.0330 0.4456  3 O 2.76-2.78

---

TlZnRh2 | PBE-GGA | relaxed

Computed properties:
DFT formation energy   156.3 meV per atom
Space group   F-43m (216)
Crystal system   cubic

Cell: 4.5195 4.5195 4.5195 Å, 60.00 60.00 60.00°
Last column: nearest neighbours and their distance in Å.
Atoms (fractional coordinates):
Zn: 0.7500 0.7500 0.7500  4 Tl 2.77, 4 Rh 2.77
Rh: 0.2500 0.2500 0.2500  4 Rh 2.77, 4 Tl 2.77
Rh: 0.0000 0.0000 0.0000  4 Zn 2.77, 4 Rh 2.77
Tl: 0.5000 0.5000 0.5000  4 Rh 2.77, 4 Zn 2.77

---

Er2Sc3Al3 | PBE-GGA | relaxed

Computed properties:
DFT formation energy   -300.9 meV per atom
Space group   Pmmm (47)
Crystal system   orthorhombic

Cell: 4.5638 4.5460 8.5562 Å, 90.00 90.00 90.00°
Last column: nearest neighbours and their distance in Å.
Atoms (fractional coordinates):
Al: 0.0000 0.5000 0.5000  4 Sc 2.99, 4 Er 3.07, 4 Al 3.22
Al: 0.0000 0.5000 0.0000  4 Er 3.18, 8 Sc 3.22-3.27
Er: 0.0000 0.0000 0.7405  6 Al 3.07-3.18, 6 Sc 3.18-3.22
Sc: 0.5000 0.5000 0.2743  6 Al 2.98-3.27, 4 Er 3.22, 2 Sc 3.27
Er: 0.0000 0.0000 0.2595  6 Al 3.07-3.18, 6 Sc 3.18-3.22
Al: 0.5000 0.0000 0.5000  4 Sc 2.98, 4 Er 3.07, 4 Al 3.22
Sc: 0.5000 0.0000 0.0000  4 Er 3.18, 4 Al 3.22, 4 Sc 3.27
Sc: 0.5000 0.5000 0.7257  6 Al 2.98-3.27, 4 Er 3.22, 2 Sc 3.27

---

Tb2Sm6Tl3 | PBE-GGA | relaxed

Computed properties:
DFT formation energy   251.4 meV per atom
Space group   I4/mmm (139)
Crystal system   tetragonal

Cell: 5.4528 5.4528 12.8314 Å, 102.27 102.27 90.00°
Last column: nearest neighbours and their distance in Å.
Atoms (fractional coordinates):
Tl: 0.1741 0.1741 0.3483  5 Sm 3.13-3.27
Sm: 0.3020 0.3020 0.6040  1 Tl 3.13, 1 Tb 3.42
Sm: 0.6001 0.1001 0.2001  2 Tb 2.91
Sm: 0.1001 0.6001 0.2001  2 Tb 2.91
Sm: 0.6980 0.6980 0.3960  1 Tl 3.13, 1 Tb 3.42
Tb: 0.5584 0.5584 0.1167  1 Tb 2.86, 4 Sm 2.91
Tb: 0.4416 0.4416 0.8833  1 Tb 2.86, 4 Sm 2.91
Tl: 0.8259 0.8259 0.6517  5 Sm 3.13-3.27
Sm: 0.3999 0.8999 0.7999  2 Tb 2.91
Tl: 0.0000 0.0000 0.0000  8 Sm 3.67
Sm: 0.8999 0.3999 0.7999  2 Tb 2.91

---

NaPmLu | PBE-GGA | relaxed

Computed properties:
DFT formation energy   167.0 meV per atom
Space group   I4mm (107)
E above lowest polymorph   0.023 eV per atom
Crystal system   tetragonal

Cell: 3.5096 3.5096 8.4678 Å, 101.96 101.96 90.00°
Last column: nearest neighbours and their distance in Å.
Atoms (fractional coordinates):
Lu: 0.3251 0.3251 0.6502  4 Pm 3.45, 4 Lu 3.51, 4 Na 3.74
Na: 0.9977 0.9977 0.9954  4 Na 3.51, 4 Lu 3.74, 4 Pm 3.82
Pm: 0.6772 0.6772 0.3543  4 Lu 3.45, 4 Pm 3.51, 4 Na 3.82

---

ZrRe2AsRh | PBE-GGA | relaxed

Computed properties:
DFT formation energy   1340.8 meV per atom
Space group   P4/mmm (123)
Crystal system   tetragonal

Cell: 4.7363 4.5618 4.7363 Å, 90.00 90.00 90.00°
Last column: nearest neighbours and their distance in Å.
Atoms (fractional coordinates):
Rh: 0.0000 0.0000 0.0000  2 As 2.28, 4 Re 2.37
As: 0.0000 0.5000 0.0000  2 Rh 2.28
Re: 0.0000 0.0000 0.5000  2 Rh 2.37
Re: 0.5000 0.0000 0.0000  2 Rh 2.37
Zr: 0.5000 0.5000 0.5000  8 Re 3.29, 4 As 3.35

---

Tm2Co3P4Ir | PBE-GGA | relaxed

Computed properties:
DFT formation energy   -1008.9 meV per atom
Space group   P-4m2 (115)
Crystal system   tetragonal

Cell: 3.9256 3.9256 9.1535 Å, 90.00 90.00 90.00°
Last column: nearest neighbours and their distance in Å.
Atoms (fractional coordinates):
P: 0.5000 0.5000 0.0000  4 Co 2.21
Tm: 0.0000 0.5000 0.7626  8 P 2.93-2.97, 7 Co 3.00-3.20, 2 Ir 3.10
P: 0.0000 0.5000 0.3524  3 Co 2.20-2.38, 2 Ir 2.38
Ir: 0.5000 0.5000 0.5000  4 P 2.38
Tm: 0.5000 0.0000 0.2374  8 P 2.93-2.97, 7 Co 3.00-3.20, 2 Ir 3.10
P: 0.5000 0.0000 0.6476  3 Co 2.20-2.38, 2 Ir 2.38
Co: 0.5000 0.0000 0.8882  5 P 2.20-2.21
P: 0.0000 0.0000 0.0000  4 Co 2.21
Co: 0.0000 0.5000 0.1118  5 P 2.20-2.21
Co: 0.0000 0.0000 0.5000  4 P 2.38

---

KCa2Cr | PBE-GGA | relaxed

Computed properties:
DFT formation energy   612.8 meV per atom
Space group   R3m (160)
E above lowest polymorph   0.184 eV per atom
Crystal system   trigonal

Cell: 12.4837 12.4837 12.4837 Å, 17.72 17.72 17.72°
Last column: nearest neighbours and their distance in Å.
Atoms (fractional coordinates):
K: 0.7610 0.7610 0.7610  3 Cr 3.69, 6 K 3.85
Cr: 0.5076 0.5076 0.5076  3 Ca 3.24
Ca: 0.9930 0.9930 0.9930  9 Ca 3.85-3.93
Ca: 0.2384 0.2384 0.2384  3 Cr 3.24

---

Pm5Sm2TmSc | PBE-GGA | relaxed

Computed properties:
DFT formation energy   286.6 meV per atom
Space group   I4/mcm (140)
Crystal system   tetragonal

Cell: 8.3938 8.3938 10.3460 Å, 113.93 113.93 90.00°
Last column: nearest neighbours and their distance in Å.
Atoms (fractional coordinates):
Sm: 0.6248 0.1248 0.0000  1 Sm 2.96, 2 Pm 3.10
Pm: 0.6381 0.1381 0.7095  1 Sm 3.10, 1 Sc 3.12
Sm: 0.3752 0.8752 0.0000  1 Sm 2.96, 2 Pm 3.10
Tm: 0.7500 0.7500 0.5000  8 Pm 3.48
Pm: 0.9286 0.4286 0.2905  1 Sm 3.10, 1 Sc 3.12
Pm: 0.0000 0.0000 0.0000  4 Sm 3.32
Pm: 0.5000 0.5000 0.0000  4 Sm 3.32
Pm: 0.5714 0.6381 0.7095  1 Sm 3.10, 1 Sc 3.12
Pm: 0.1381 0.0714 0.7095  1 Sm 3.10, 1 Sc 3.12
Sc: 0.7500 0.2500 0.5000  4 Pm 3.12
Tm: 0.2500 0.2500 0.5000  8 Pm 3.48
Sm: 0.1248 0.3752 0.0000  1 Sm 2.96, 2 Pm 3.10
Pm: 0.3619 0.8619 0.2905  1 Sm 3.10, 1 Sc 3.12
Pm: 0.4286 0.3619 0.2905  1 Sm 3.10, 1 Sc 3.12
Pm: 0.0714 0.5714 0.7095  1 Sm 3.10, 1 Sc 3.12
Sc: 0.2500 0.7500 0.5000  4 Pm 3.12
Pm: 0.8619 0.9286 0.2905  1 Sm 3.10, 1 Sc 3.12
Sm: 0.8752 0.6248 0.0000  1 Sm 2.96, 2 Pm 3.10

---

MnBe2W | PBE-GGA | relaxed

Computed properties:
DFT formation energy   55.0 meV per atom
Space group   F-43m (216)
E above lowest polymorph   0.097 eV per atom
Crystal system   cubic

Cell: 3.9783 3.9783 3.9783 Å, 60.00 60.00 60.00°
Last column: nearest neighbours and their distance in Å.
Atoms (fractional coordinates):
Be: 0.0000 0.0000 0.0000  4 Be 2.44, 4 W 2.44
Mn: 0.5000 0.5000 0.5000  4 W 2.44, 4 Be 2.44
Be: 0.2500 0.2500 0.2500  4 Mn 2.44, 4 Be 2.44
W: 0.7500 0.7500 0.7500  4 Mn 2.44, 4 Be 2.44

---

| no. | VASP energy (eV for the cell shown) |
| --- | --- |
| 1 | -392.2 |
| 2 | -29.7 |
| 3 | -103.6 |
| 4 | -17.7 |
| 5 | -41.8 |
| 6 | -41.9 |
| 7 | -10.1 |
| 8 | -38.7 |
| 9 | -70.9 |
| 10 | -12.3 |
| 11 | -82.8 |
| 12 | -29.4 |